DFT (PBE) results for a relaxed structure of NpHgPt.

CIF file:
```
data_NpHgPt
_chemical_formula_sum 'Np4 Hg4 Pt4'
_cell_length_a 6.629
_cell_length_b 6.629
_cell_length_c 6.629
_cell_angle_alpha 90.00
_cell_angle_beta 90.00
_cell_angle_gamma 90.00
_space_group_name_H-M_alt 'F -4 3 m'
_space_group_IT_number 216
_space_group_name_Hall 'F -4 2 3'
loop_
_atom_site_label
_atom_site_fract_x
_atom_site_fract_y
_atom_site_fract_z
_atom_site_occupancy
Np1 0.000 0.000 0.000 1
Hg1 0.000 0.000 0.500 1
Pt1 0.250 0.250 0.750 1
```

Output
Energy of formation from the pure elements   -0.199 eV/atom
Crystal system   cubic


DFT (PBE) results for a relaxed structure of PuNpHg.

CIF file:
```
data_PuNpHg
_chemical_formula_sum 'Pu4 Np4 Hg4'
_cell_length_a 6.875
_cell_length_b 6.875
_cell_length_c 6.875
_cell_angle_alpha 90.00
_cell_angle_beta 90.00
_cell_angle_gamma 90.00
_space_group_name_H-M_alt 'F -4 3 m'
_space_group_IT_number 216
_space_group_name_Hall 'F -4 2 3'
loop_
_atom_site_label
_atom_site_fract_x
_atom_site_fract_y
_atom_site_fract_z
_atom_site_occupancy
Pu1 0.000 0.000 0.000 1
Np1 0.250 0.250 0.250 1
Hg1 0.250 0.250 0.750 1
```

Output
Energy above the lowest structure with this stoichiometry   0.0000 eV per atom
Energy of formation from the pure elements   0.525 eV/atom
Crystal system   cubic


DFT (PBE) results for a relaxed structure of RbNpHgTe3.

CIF file:
```
data_RbNpHgTe3
_chemical_formula_sum 'Rb2 Np2 Hg2 Te6'
_cell_length_a 4.564
_cell_length_b 11.876
_cell_length_c 8.585
_cell_angle_alpha 90.00
_cell_angle_beta 104.78
_cell_angle_gamma 90.00
_space_group_name_H-M_alt 'P 1 21/m 1'
_space_group_IT_number 11
loop_
_space_group_symop_operation_xyz
'x,y,z'
'-x,-y,-z'
'-x,y+1/2,-z'
'x,-y+1/2,z'
loop_
_atom_site_label
_atom_site_fract_x
_atom_site_fract_y
_atom_site_fract_z
_atom_site_occupancy
Rb1 0.231 0.250 0.492 1
Np1 0.000 0.000 0.000 1
Hg1 0.471 0.750 0.918 1
Te1 0.073 0.750 0.141 1
Te2 0.381 0.546 0.743 1
```

Output
Crystal system   monoclinic


DFT (PBE) results for a relaxed structure of NpSnHg.

CIF file:
```
data_NpSnHg
_chemical_formula_sum 'Np4 Sn4 Hg4'
_cell_length_a 7.197
_cell_length_b 7.197
_cell_length_c 7.197
_cell_angle_alpha 90.00
_cell_angle_beta 90.00
_cell_angle_gamma 90.00
_space_group_name_H-M_alt 'F -4 3 m'
_space_group_IT_number 216
_space_group_name_Hall 'F -4 2 3'
loop_
_atom_site_label
_atom_site_fract_x
_atom_site_fract_y
_atom_site_fract_z
_atom_site_occupancy
Np1 0.000 0.000 0.000 1
Sn1 0.250 0.250 0.250 1
Hg1 0.250 0.250 0.750 1
```

Output
Energy above the lowest structure with this stoichiometry   0.1471 eV per atom
Crystal system   cubic


DFT (PBE) results for a relaxed structure of NpSnHg.

CIF file:
```
data_NpSnHg
_chemical_formula_sum 'Np4 Sn4 Hg4'
_cell_length_a 7.040
_cell_length_b 7.040
_cell_length_c 7.040
_cell_angle_alpha 90.00
_cell_angle_beta 90.00
_cell_angle_gamma 90.00
_space_group_name_H-M_alt 'F -4 3 m'
_space_group_IT_number 216
_space_group_name_Hall 'F -4 2 3'
loop_
_atom_site_label
_atom_site_fract_x
_atom_site_fract_y
_atom_site_fract_z
_atom_site_occupancy
Np1 0.000 0.000 0.000 1
Sn1 0.000 0.000 0.500 1
Hg1 0.250 0.250 0.250 1
```

Output
Energy above the lowest structure with this stoichiometry   0.0000 eV per atom
Crystal system   cubic


DFT (PBE) results for a relaxed structure of TbNpHg.

CIF file:
```
data_TbNpHg
_chemical_formula_sum 'Tb4 Np4 Hg4'
_cell_length_a 7.220
_cell_length_b 7.220
_cell_length_c 7.220
_cell_angle_alpha 90.00
_cell_angle_beta 90.00
_cell_angle_gamma 90.00
_space_group_name_H-M_alt 'F -4 3 m'
_space_group_IT_number 216
_space_group_name_Hall 'F -4 2 3'
loop_
_atom_site_label
_atom_site_fract_x
_atom_site_fract_y
_atom_site_fract_z
_atom_site_occupancy
Tb1 0.000 0.000 0.000 1
Np1 0.000 0.000 0.500 1
Hg1 0.250 0.250 0.750 1
```

Output
Energy of formation from the pure elements   0.441 eV/atom
Crystal system   cubic


Calculated raw total energy in order - -19.72 -25.62 -27.49 -15.99 -16.43 -16.37 eV/f.u.
Calculated ρ in order - 14.4 13.9 6.7 9.9 10.6 10.5 Mg/m³